Entry 1:
The following is a DFT calculation (PBE) of a geometry-optimized SmEr2Ga structure.

```
SmEr2Ga
1.0
-3.766 0.836 1.838
-0.757 -0.525 -6.277
-1.497 -8.754 0.913
Er Sm Ga
4 2 2
direct
0.355 0.710 0.556
0.355 0.710 0.944
0.645 0.290 0.444
0.645 0.290 0.056
0.059 0.118 0.750
0.941 0.882 0.250
0.750 0.499 0.750
0.250 0.501 0.250
```

Summary:
* offset from the most stable computed form: 0.0397 eV per atom
* E: -35.74 eV per cell
* calculated formation energy: -0.998 eV/f.u.

=====

Entry 2:
The following is a DFT calculation (PBE) of a geometry-optimized Ac2HfGeN5 structure.

```
Ac2HfGeN5
1.0
3.425 0.000 0.000
-1.712 7.550 0.000
0.000 0.000 10.695
N Ac Ge Hf
10 4 2 2
direct
0.677 0.354 0.886
0.709 0.417 0.149
0.291 0.583 0.649
0.047 0.093 0.037
0.656 0.312 0.504
0.323 0.646 0.386
0.499 0.998 0.791
0.344 0.688 0.004
0.501 0.002 0.291
0.953 0.907 0.537
0.129 0.258 0.313
0.871 0.742 0.813
0.886 0.772 0.181
0.114 0.228 0.681
0.446 0.893 0.445
0.554 0.107 0.945
0.790 0.581 0.517
0.210 0.419 0.017
```

Summary:
* E: -144.37 eV per cell

=====

Question: Which value of E does entry 2 give?
Answer: -144.37 eV per cell